Record 1
Computed, not measured: a relaxed KCaTa2 crystal at the PBEsol level of DFT.

abc: 4.111 4.111 7.617
angles: 90.00 90.00 90.00
Each line ends with the local moment (μB).
Fractional positions:
Ta  0.000  0.000  0.848  0.27
Ta  0.000  0.000  0.152  0.27
Ca  0.500  0.500  0.000  0.04
K  0.500  0.500  0.500  0.00

Properties
E_form, kJ/mol of atoms: 150.6
Energy above the lowest structure with this stoichiometry, meV per atom: 926
Volume, Å³/f.u.: 128.75
Space-group type: P4/mmm (123)
Total moment, μB per formula unit: 0.878

Record 2
Computed, not measured: a relaxed Sc5Be crystal at the PBEsol level of DFT.

abc: 3.176 3.176 12.455
angles: 90.00 90.00 90.00
Fractional positions:
Sc  0.500  0.500  0.816
Sc  0.000  0.000  0.377
Sc  0.500  0.500  0.184
Sc  0.000  0.000  0.000
Sc  0.000  0.000  0.623
Be  0.500  0.500  0.500

Properties
E_form, kJ/mol of atoms: 1.9
Energy above the lowest structure with this stoichiometry, meV per atom: 0
Volume, Å³/f.u.: 125.64
Space-group type: P4/mmm (123)
Total moment, μB per formula unit: 0.002

Record 3
Computed, not measured: a relaxed BaZrCr2 crystal at the PBEsol level of DFT.

abc: 3.649 3.649 6.814
angles: 90.00 90.00 90.00
Fractional positions:
Cr  0.000  0.000  0.858
Cr  0.000  0.000  0.142
Ba  0.500  0.500  0.500
Zr  0.500  0.500  0.000

Properties
E_form, kJ/mol of atoms: 66.9
Energy above the lowest structure with this stoichiometry, meV per atom: 0
Volume, Å³/f.u.: 90.71
Space-group type: P4/mmm (123)
Total moment, μB per formula unit: 0.000

Record 4
Computed, not measured: a relaxed Li2Ni2S3O12 crystal at the PBEsol level of DFT.

abc: 7.611 7.611 8.606
angles: 68.53 68.53 66.98
Each line ends with the local moment (μB).
Fractional positions:
O  0.904  0.226  0.818  0.06
O  0.255  0.384  0.190  0.06
O  0.363  0.603  0.615  0.05
O  0.508  0.123  0.067  0.01
O  0.616  0.745  0.310  0.06
O  0.951  0.870  0.889  0.04
O  0.123  0.508  0.567  0.01
O  0.226  0.904  0.318  0.06
O  0.868  0.540  0.137  0.10
O  0.384  0.255  0.690  0.06
O  0.603  0.363  0.115  0.05
O  0.540  0.868  0.637  0.10
O  0.397  0.637  0.885  0.05
O  0.774  0.096  0.682  0.06
O  0.049  0.130  0.111  0.04
O  0.492  0.877  0.933  0.01
O  0.130  0.049  0.611  0.04
O  0.637  0.397  0.385  0.05
O  0.745  0.616  0.810  0.06
O  0.460  0.132  0.363  0.10
O  0.132  0.460  0.863  0.10
O  0.877  0.492  0.433  0.01
O  0.870  0.951  0.389  0.04
O  0.096  0.774  0.182  0.06
S  0.061  0.939  0.250  0.02
S  0.462  0.253  0.176  0.01
S  0.939  0.061  0.750  0.02
S  0.253  0.462  0.676  0.01
S  0.538  0.747  0.824  0.01
S  0.747  0.538  0.324  0.01
Ni  0.126  0.627  0.018  1.63
Ni  0.373  0.874  0.482  1.63
Ni  0.627  0.126  0.518  1.63
Ni  0.874  0.373  0.982  1.63
Li  0.322  0.138  0.951  0.00
Li  0.138  0.322  0.451  0.00
Li  0.862  0.678  0.549  0.00
Li  0.678  0.862  0.049  0.00

Properties
Uncorrected energy, eV/atom: -6.27
Volume, Å³/f.u.: 206.16
Space-group type: C2/c (15)
Total moment, μB per formula unit: 4.003

Record 5
Computed, not measured: a relaxed SrNbSn2Se crystal at the PBEsol level of DFT.

abc: 4.988 5.383 5.383
angles: 90.00 90.00 90.00
Fractional positions:
Sr  0.500  0.500  0.500
Se  0.500  0.000  0.000
Sn  0.000  0.500  0.000
Sn  0.000  0.000  0.500
Nb  0.000  0.000  0.000

Properties
Energy above the lowest structure with this stoichiometry, meV per atom: 0
Volume, Å³/f.u.: 144.51
Space-group type: P4/mmm (123)
Total moment, μB per formula unit: 0.000

Record 6
Computed, not measured: a relaxed BaIn2Os crystal at the PBEsol level of DFT.

abc: 2.994 6.093 6.148
angles: 115.89 97.11 103.98
Fractional positions:
Ba  0.000  0.500  0.000
Os  0.500  0.000  0.000
In  0.000  0.000  0.500
In  0.500  0.500  0.500

Properties
E_form, kJ/mol of atoms: 73.6
Volume, Å³/f.u.: 94.48
Space-group type: C2/m (12)
Total moment, μB per formula unit: 0.020

Record 7
Computed, not measured: a relaxed CsVFeF6 crystal at the PBEsol level of DFT.

abc: 7.312 7.369 7.369
angles: 60.04 60.25 60.25
Each line ends with the local moment (μB).
Fractional positions:
V  0.000  0.500  0.500  2.06
V  0.000  0.000  0.000  2.06
F  0.676  0.574  0.074  0.12
F  0.324  0.426  0.926  0.12
F  0.318  0.423  0.329  0.05
F  0.931  0.423  0.329  0.05
F  0.069  0.577  0.671  0.05
F  0.318  0.829  0.923  0.05
F  0.682  0.577  0.671  0.05
F  0.682  0.171  0.077  0.05
F  0.061  0.189  0.689  -0.01
F  0.069  0.171  0.077  0.05
F  0.931  0.829  0.923  0.05
F  0.939  0.811  0.311  -0.01
Fe  0.000  0.500  0.000  3.77
Fe  0.500  0.500  0.000  3.77
Cs  0.377  0.873  0.373  0.00
Cs  0.623  0.127  0.627  0.00

Properties
Uncorrected energy, eV/atom: -6.02
Volume, Å³/f.u.: 140.98
Space-group type: Imma (74)
Total moment, μB per formula unit: 6.404

Record 8
Computed, not measured: a relaxed BaInIr crystal at the PBEsol level of DFT.

abc: 5.066 5.066 5.066
angles: 60.00 60.00 60.00
Fractional positions:
In  0.000  0.000  0.000
Ba  0.250  0.250  0.250
Ir  0.500  0.500  0.500

Properties
E_form, kJ/mol of atoms: 89.4
Volume, Å³/f.u.: 91.96
Space-group type: F-43m (216)
Total moment, μB per formula unit: 0.000

Record 9
Computed, not measured: a relaxed Li2ScIn crystal at the PBEsol level of DFT.

abc: 3.452 3.452 6.487
angles: 90.00 90.00 90.00
Each line ends with the local moment (μB).
Fractional positions:
In  0.500  0.500  0.500  0.00
Li  0.000  0.000  0.273  0.00
Li  0.000  0.000  0.727  0.00
Sc  0.500  0.500  0.000  0.10

Properties
E_form, kJ/mol of atoms: -8.7
Volume, Å³/f.u.: 77.29
Space-group type: P4/mmm (123)
Total moment, μB per formula unit: 0.144

Record 10
Computed, not measured: a relaxed Ta2Br crystal at the PBEsol level of DFT.

abc: 2.946 4.854 7.859
angles: 90.00 100.80 90.00
Fractional positions:
Br  0.636  0.750  0.273
Br  0.364  0.250  0.727
Ta  0.289  0.750  0.578
Ta  0.711  0.250  0.422
Ta  0.959  0.750  0.918
Ta  0.041  0.250  0.082

Properties
Energy above the lowest structure with this stoichiometry, meV per atom: 201
Volume, Å³/f.u.: 55.21
Space-group type: Cmcm (63)
Total moment, μB per formula unit: 0.000

Record 11
Computed, not measured: a relaxed CaCl2 crystal at the PBEsol level of DFT.

abc: 4.128 6.243 6.406
angles: 90.00 90.00 90.00
Fractional positions:
Cl  0.000  0.279  0.673
Cl  0.000  0.721  0.327
Cl  0.500  0.221  0.173
Cl  0.500  0.779  0.827
Ca  0.500  0.500  0.500
Ca  0.000  0.000  0.000

Properties
Uncorrected energy, eV/atom: -4.44
Volume, Å³/f.u.: 82.54
Space-group type: Pnnm (58)
Total moment, μB per formula unit: 0.000

Record 12
Computed, not measured: a relaxed SbAu2 crystal at the PBEsol level of DFT.

abc: 5.481 5.720 5.481
angles: 61.38 90.00 118.62
Fractional positions:
Au  0.323  0.000  0.177
Au  0.677  0.000  0.823
Au  0.177  0.000  0.677
Au  0.823  0.000  0.323
Sb  0.250  0.500  0.750
Sb  0.750  0.500  0.250

Properties
Uncorrected energy, eV/atom: -4.11
Volume, Å³/f.u.: 63.19
Space-group type: I4/mcm (140)
Total moment, μB per formula unit: 0.000